Entry 1:
Material: LaCe2ScBi4
Method: DFT, GGA-PBE
State: relaxed

Cell lengths 4.5553, 7.8732, 7.8974 Å; angles 109.48, 90.00, 90.00 degrees
Site moments in Bohr magnetons follow the coordinates.
Sites, in units of the cell vectors:
Ce 0.5000 0.0000 0.5000  0.90
Bi 0.5000 0.2622 0.2476  -0.03
Bi 0.0000 0.7334 0.2382  -0.03
Ce 0.0000 0.5000 0.5000  0.73
Sc 0.5000 0.5000 0.0000  0.00
Bi 0.5000 0.7378 0.7524  -0.03
Bi 0.0000 0.2666 0.7618  -0.03
La 0.0000 0.0000 0.0000  0.00

Computed properties:
The calculated volume is 267.03 Å³/cell. The calculation puts the final energy at -44.99 eV per cell.

---

Entry 2:
Material: TbSc2AlAu4
Method: DFT, GGA-PBE
State: relaxed

Cell lengths 4.7355, 4.7355, 8.7033 Å; angles 74.21, 74.21, 60.00 degrees
Sites, in units of the cell vectors:
Au 0.8757 0.8757 0.3728
Au 0.3912 0.3912 0.8264
Tb 0.0000 0.0000 0.0000
Au 0.1243 0.1243 0.6272
Au 0.6088 0.6088 0.1736
Sc 0.2424 0.2424 0.2728
Sc 0.7576 0.7576 0.7272
Al 0.5000 0.5000 0.5000

Computed properties:
The calculated volume is 160.46 Å³/cell. The calculation puts the final energy at -40.06 eV per cell.

---

Entry 3:
Material: Fe4CoH
Method: DFT, GGA-PBE
State: relaxed

Cell lengths 2.4866, 5.2643, 5.2642 Å; angles 94.57, 90.00, 90.00 degrees
Site moments in Bohr magnetons follow the coordinates.
Sites, in units of the cell vectors:
H 0.5000 0.0000 0.0000  -0.03
Fe 0.0000 0.8124 0.8123  2.47
Fe 0.5000 0.7607 0.2392  2.61
Co 0.0000 0.5000 0.5000  1.46
Fe 0.5000 0.2393 0.7608  2.61
Fe 0.0000 0.1876 0.1877  2.47

Computed properties:
The calculated volume is 68.69 Å³/cell. For the relative energy among the computed polymorphs, the calculation gives 0.362 eV/atom. The calculation puts the final energy at -41.65 eV per cell.